A plane-wave DFT calculation with GGA-PBE was carried out for a geometry-optimized Hf3Zn3N structure.

Properties
* theoretical density: 11432 kg/m³
* space group: Fd-3m, No. 227
* volume: 433.28 Å³/cell
* energy: -6.7206 eV per atom

Geometry as POSCAR:
```
Hf3Zn3N
1.0
-6.006 0.000 6.006
0.000 -6.006 -6.006
6.006 0.000 6.006
Zn N Hf
12 4 12
Direct
0.667 0.665 0.333
0.083 0.165 0.248
0.375 0.250 0.125
0.083 0.165 0.917
0.875 0.750 0.625
0.667 0.335 0.002
0.875 0.250 0.125
0.083 0.835 0.917
0.998 0.665 0.333
0.875 0.750 0.125
0.752 0.835 0.917
0.667 0.335 0.333
0.375 0.250 0.625
0.375 0.750 0.625
0.375 0.750 0.125
0.875 0.250 0.625
0.686 0.000 0.314
0.686 0.372 0.686
0.686 0.000 0.686
0.064 0.500 0.936
0.436 0.500 0.564
0.436 0.500 0.936
0.314 0.000 0.686
0.314 0.000 0.314
0.436 0.872 0.936
0.064 0.500 0.564
0.064 0.128 0.564
0.314 0.628 0.314
```